No. 1
# HfGaCuP2 | the Alexandria database | PBE | optimized geometry
data_HfGaCuP2
_cell_length_a 4.5448
_cell_length_b 4.5448
_cell_length_c 5.1148
_cell_angle_alpha 90.00
_cell_angle_beta 90.00
_cell_angle_gamma 90.00
_space_group_name_H-M_alt 'P 1'
_space_group_IT_number 1
loop_
_space_group_symop_operation_xyz
'x,y,z'
loop_
_atom_site_label
_atom_site_type_symbol
_atom_site_fract_x
_atom_site_fract_y
_atom_site_fract_z
_atom_site_occupancy
Hf1 Hf 0.0000 0.0000 0.0000 1
Ga1 Ga 0.0000 0.0000 0.5000 1
Cu1 Cu 0.5000 0.5000 0.0000 1
P1 P 0.0000 0.5000 0.5000 1
P2 P 0.5000 0.0000 0.5000 1
# Excess energy over the best structure of this formula in the dataset, meV/atom: 497
# ΔE_f, meV/atom: 999
# Total moment, μB per atom: 0.0000


No. 2
# HfGaCuP2 | the Alexandria database | PBE | optimized geometry
data_HfGaCuP2
_cell_length_a 4.3377
_cell_length_b 4.3377
_cell_length_c 5.1001
_cell_angle_alpha 90.00
_cell_angle_beta 90.00
_cell_angle_gamma 90.00
_space_group_name_H-M_alt 'P 1'
_space_group_IT_number 1
loop_
_space_group_symop_operation_xyz
'x,y,z'
loop_
_atom_site_label
_atom_site_type_symbol
_atom_site_fract_x
_atom_site_fract_y
_atom_site_fract_z
_atom_site_occupancy
Hf1 Hf 0.0000 0.0000 0.0000 1
Ga1 Ga 0.5000 0.5000 0.0000 1
Cu1 Cu 0.0000 0.0000 0.5000 1
P1 P 0.0000 0.5000 0.5000 1
P2 P 0.5000 0.0000 0.5000 1
# Excess energy over the best structure of this formula in the dataset, meV/atom: 0
# ΔE_f, meV/atom: 502
# Total moment, μB per atom: 0.0000


No. 3
# HfGaCu2P | the Alexandria database | PBE | optimized geometry
data_HfGaCu2P
_cell_length_a 4.1943
_cell_length_b 4.1943
_cell_length_c 5.0853
_cell_angle_alpha 90.00
_cell_angle_beta 90.00
_cell_angle_gamma 90.00
_space_group_name_H-M_alt 'P 1'
_space_group_IT_number 1
loop_
_space_group_symop_operation_xyz
'x,y,z'
loop_
_atom_site_label
_atom_site_type_symbol
_atom_site_fract_x
_atom_site_fract_y
_atom_site_fract_z
_atom_site_occupancy
Hf1 Hf 0.0000 0.0000 0.0000 1
Ga1 Ga 0.5000 0.5000 0.0000 1
Cu1 Cu 0.0000 0.5000 0.5000 1
Cu2 Cu 0.5000 0.0000 0.5000 1
P1 P 0.5000 0.5000 0.5000 1
# ΔE_f, meV/atom: 360
# Total moment, μB per atom: 0.0000


No. 4
# HfGaCu2Si | the Alexandria database | PBE | optimized geometry
data_HfGaCu2Si
_cell_length_a 4.2624
_cell_length_b 4.2624
_cell_length_c 4.8680
_cell_angle_alpha 90.00
_cell_angle_beta 90.00
_cell_angle_gamma 90.00
_space_group_name_H-M_alt 'P 1'
_space_group_IT_number 1
loop_
_space_group_symop_operation_xyz
'x,y,z'
loop_
_atom_site_label
_atom_site_type_symbol
_atom_site_fract_x
_atom_site_fract_y
_atom_site_fract_z
_atom_site_occupancy
Hf1 Hf 0.0000 0.0000 0.0000 1
Ga1 Ga 0.5000 0.5000 0.0000 1
Cu1 Cu 0.0000 0.5000 0.5000 1
Cu2 Cu 0.5000 0.0000 0.5000 1
Si1 Si 0.5000 0.5000 0.5000 1
# Uncorrected formation energy, meV per atom: 419
# Total moment, μB per atom: 0.0000


No. 5
# TbHfGaCu | the Alexandria database | PBE | optimized geometry
data_TbHfGaCu
_cell_length_a 4.8268
_cell_length_b 4.8268
_cell_length_c 4.8268
_cell_angle_alpha 60.00
_cell_angle_beta 60.00
_cell_angle_gamma 60.00
_space_group_name_H-M_alt 'P 1'
_space_group_IT_number 1
loop_
_space_group_symop_operation_xyz
'x,y,z'
loop_
_atom_site_label
_atom_site_type_symbol
_atom_site_fract_x
_atom_site_fract_y
_atom_site_fract_z
_atom_site_occupancy
Tb1 Tb 0.0000 0.0000 0.0000 1
Hf1 Hf 0.5000 0.5000 0.5000 1
Ga1 Ga 0.7500 0.7500 0.7500 1
Cu1 Cu 0.2500 0.2500 0.2500 1
# ΔE_f, meV/atom: -253
# Total moment, μB per atom: 0.1219


No. 6
# HfGaCuTc | the Alexandria database | PBE | optimized geometry
data_HfGaCuTc
_cell_length_a 4.4603
_cell_length_b 4.4603
_cell_length_c 4.4603
_cell_angle_alpha 60.00
_cell_angle_beta 60.00
_cell_angle_gamma 60.00
_space_group_name_H-M_alt 'P 1'
_space_group_IT_number 1
loop_
_space_group_symop_operation_xyz
'x,y,z'
loop_
_atom_site_label
_atom_site_type_symbol
_atom_site_fract_x
_atom_site_fract_y
_atom_site_fract_z
_atom_site_occupancy
Hf1 Hf 0.0000 0.0000 0.0000 1
Ga1 Ga 0.5000 0.5000 0.5000 1
Cu1 Cu 0.2500 0.2500 0.2500 1
Tc1 Tc 0.7500 0.7500 0.7500 1
# ΔE_f, meV/atom: -161
# Total moment, μB per atom: 0.0000


Number 1: uncorrected energy -4.58 eV/atom. Number 2: uncorrected energy -5.08 eV/atom. Number 3: uncorrected energy -4.96 eV/atom. Number 4: uncorrected energy -4.90 eV/atom. Number 5: uncorrected energy -5.68 eV/atom. Number 6: uncorrected energy -7.02 eV/atom.